Record 1
DFT (PBE-GGA) results for crystalline Os2BrCl at its relaxed geometry.

Computed properties:
Space-group type: F-43m, No. 216
Polymorph energy (0 for the lowest one) in eV per formula unit: 5.06

Structure (POSCAR):
```
Os2BrCl
1.0
0.0000 3.2186 3.2186
3.2186 0.0000 3.2186
3.2186 3.2186 0.0000
Os Br Cl
2 1 1
Direct
0.0000 0.0000 0.0000 Os
0.2500 0.2500 0.2500 Os
0.5000 0.5000 0.5000 Br
0.7500 0.7500 0.7500 Cl
```


Record 2
DFT (PBE-GGA) results for crystalline TbPr3Sm2Er6 at its relaxed geometry.

Computed properties:
Space-group type: C2/m, No. 12
ΔH_f (0 K) in meV/atom: 17

Structure (POSCAR):
```
TbPr3Sm2Er6
1.0
3.1113 -5.3874 0.0000
3.1113 5.3874 0.0000
-2.0663 0.0000 11.5851
Tb Pr Sm Er
1 3 2 6
Direct
0.0000 0.0000 0.0000 Tb
0.1667 0.8333 0.5000 Pr
0.5000 0.5000 0.5000 Pr
0.8333 0.1667 0.5000 Pr
0.3335 0.6665 0.0000 Sm
0.6665 0.3335 0.0000 Sm
0.0826 0.4158 0.2473 Er
0.2504 0.2504 0.7526 Er
0.4158 0.0826 0.2473 Er
0.5842 0.9174 0.7527 Er
0.7496 0.7496 0.2474 Er
0.9174 0.5842 0.7527 Er
```


Record 3
DFT (PBE-GGA) results for crystalline AlTl2Cr at its relaxed geometry.

Computed properties:
Space-group type: C2/m, No. 12
Polymorph energy (0 for the lowest one) in eV per formula unit: 0.71
ΔH_f (0 K) in meV/atom: 494

Structure (POSCAR):
```
AlTl2Cr
1.0
4.7267 -1.7099 0.0000
4.7267 1.7099 0.0000
-1.1636 0.0000 5.5524
Al Tl Cr
1 2 1
Direct
0.0000 0.0000 0.0000 Al
0.2487 0.2487 0.7470 Tl
0.7513 0.7513 0.2530 Tl
0.5000 0.5000 0.5000 Cr
```


Record 4
DFT (PBE-GGA) results for crystalline SrTl2Cr at its relaxed geometry.

Computed properties:
Space-group type: Pmmm, No. 47
ΔH_f (0 K) in meV/atom: 108

Structure (POSCAR):
```
SrTl2Cr
1.0
3.7116 0.0000 0.0000
0.0000 3.7360 0.0000
0.0000 0.0000 7.7233
Sr Tl Cr
1 2 1
Direct
0.0000 0.0000 0.0000 Sr
0.5000 0.5000 0.2952 Tl
0.5000 0.5000 0.7048 Tl
0.0000 0.0000 0.5000 Cr
```


Record 5
DFT (PBE-GGA) results for crystalline CaPRh at its relaxed geometry.

Computed properties:
Space-group type: I4mm, No. 107
ΔH_f (0 K) in meV/atom: -659

Structure (POSCAR):
```
CaPRh
1.0
-1.6339 1.6339 5.1173
1.6339 -1.6339 5.1173
1.6339 1.6339 -5.1173
Ca P Rh
1 1 1
Direct
0.0000 0.0000 0.0000 Ca
0.7021 0.7021 0.0000 P
0.2855 0.2855 0.0000 Rh
```


Record 6
DFT (PBE-GGA) results for crystalline Ag2AsPt at its relaxed geometry.

Computed properties:
Space-group type: I-42d, No. 122
ΔH_f (0 K) in meV/atom: 230

Structure (POSCAR):
```
Ag2AsPt
1.0
-3.7665 3.7665 2.6214
3.7665 -3.7665 2.6214
3.7665 3.7665 -2.6214
Ag As Pt
4 2 2
Direct
0.1110 0.6250 0.9860 Ag
0.3750 0.3610 0.4860 Ag
0.6390 0.1250 0.0140 Ag
0.8750 0.8890 0.5140 Ag
0.0000 0.0000 0.0000 As
0.7500 0.2500 0.5000 As
0.2500 0.7500 0.5000 Pt
0.5000 0.5000 0.0000 Pt
```


Record 7
DFT (PBE-GGA) results for crystalline YHfP2O at its relaxed geometry.

Computed properties:
Space-group type: P4/mmm, No. 123
Polymorph energy (0 for the lowest one) in eV per formula unit: 5.41

Structure (POSCAR):
```
YHfP2O
1.0
5.1651 0.0000 0.0000
0.0000 5.1651 0.0000
0.0000 0.0000 4.0737
Y Hf P O
1 1 2 1
Direct
0.0000 0.0000 0.0000 Y
0.5000 0.5000 0.5000 Hf
0.0000 0.5000 0.0000 P
0.5000 0.0000 0.0000 P
0.0000 0.0000 0.5000 O
```


Record 8
DFT (PBE-GGA) results for crystalline LiZnRh2 at its relaxed geometry.

Computed properties:
Space-group type: I-42d, No. 122
ΔH_f (0 K) in meV/atom: 145

Structure (POSCAR):
```
LiZnRh2
1.0
-3.3526 3.3526 2.5943
3.3526 -3.3526 2.5943
3.3526 3.3526 -2.5943
Li Zn Rh
2 2 4
Direct
0.0000 0.0000 0.0000 Li
0.7500 0.2500 0.5000 Li
0.2500 0.7500 0.5000 Zn
0.5000 0.5000 0.0000 Zn
0.1216 0.6250 0.9966 Rh
0.3750 0.3716 0.4966 Rh
0.6284 0.1250 0.0034 Rh
0.8750 0.8784 0.5034 Rh
```


Record 9
DFT (PBE-GGA) results for crystalline LiTc3Ru at its relaxed geometry.

Computed properties:
Space-group type: Pm-3m, No. 221
Polymorph energy (0 for the lowest one) in eV per formula unit: 0.00
ΔH_f (0 K) in meV/atom: 1107

Structure (POSCAR):
```
LiTc3Ru
1.0
4.0863 0.0000 0.0000
0.0000 4.0863 0.0000
0.0000 0.0000 4.0863
Li Tc Ru
1 3 1
Direct
0.0000 0.0000 0.0000 Li
0.0000 0.0000 0.5000 Tc
0.0000 0.5000 0.0000 Tc
0.5000 0.0000 0.0000 Tc
0.5000 0.5000 0.5000 Ru
```


Record 10
DFT (PBE-GGA) results for crystalline PmAlPd at its relaxed geometry.

Computed properties:
Space-group type: P2_1/m, No. 11
Polymorph energy (0 for the lowest one) in eV per formula unit: 0.04
ΔH_f (0 K) in meV/atom: -812

Structure (POSCAR):
```
PmAlPd
1.0
7.1460 0.0000 0.0000
0.0000 4.3478 0.0000
-0.4509 0.0000 12.2199
Pm Al Pd
6 6 6
Direct
0.0285 0.2500 0.3732 Pm
0.1520 0.2500 0.0811 Pm
0.4691 0.7500 0.7086 Pm
0.5309 0.2500 0.2914 Pm
0.8480 0.7500 0.9189 Pm
0.9715 0.7500 0.6268 Pm
0.1455 0.2500 0.7997 Al
0.3562 0.7500 0.4578 Al
0.4960 0.7500 0.0825 Al
0.5040 0.2500 0.9175 Al
0.6438 0.2500 0.5422 Al
0.8545 0.7500 0.2003 Al
0.2376 0.7500 0.2438 Pd
0.2756 0.2500 0.5729 Pd
0.2776 0.7500 0.9077 Pd
0.7224 0.2500 0.0923 Pd
0.7244 0.7500 0.4271 Pd
0.7624 0.2500 0.7562 Pd
```


Record 11
DFT (PBE-GGA) results for crystalline Zr2ZnCd2 at its relaxed geometry.

Computed properties:
Space-group type: P4/mbm, No. 127
Polymorph energy (0 for the lowest one) in eV per formula unit: 1.49
ΔH_f (0 K) in meV/atom: 215

Structure (POSCAR):
```
Zr2ZnCd2
1.0
7.2545 0.0000 0.0000
0.0000 7.2545 0.0000
0.0000 0.0000 4.3899
Zr Zn Cd
4 2 4
Direct
0.1451 0.3549 0.0000 Zr
0.3549 0.8549 0.0000 Zr
0.6451 0.1451 0.0000 Zr
0.8549 0.6451 0.0000 Zr
0.0000 0.0000 0.0000 Zn
0.5000 0.5000 0.0000 Zn
0.1554 0.6554 0.5000 Cd
0.3446 0.1554 0.5000 Cd
0.6554 0.8446 0.5000 Cd
0.8446 0.3446 0.5000 Cd
```


Record 12
DFT (PBE-GGA) results for crystalline Li2PaMoN4 at its relaxed geometry.

Computed properties:
Space-group type: Cmcm, No. 63
Electronic total energy in eV per cell: -124.24

Structure (POSCAR):
```
Li2PaMoN4
1.0
1.6497 -6.1161 0.0000
1.6497 6.1161 0.0000
0.0000 0.0000 9.3827
Li Pa Mo N
4 2 2 8
Direct
0.0902 0.9098 0.5391 Li
0.0902 0.9098 0.9609 Li
0.9098 0.0902 0.0391 Li
0.9098 0.0902 0.4609 Li
0.4531 0.5469 0.7500 Pa
0.5469 0.4531 0.2500 Pa
0.2839 0.7161 0.2500 Mo
0.7161 0.2839 0.7500 Mo
0.1006 0.8994 0.7500 N
0.1843 0.8157 0.1131 N
0.1843 0.8157 0.3869 N
0.5000 0.5000 0.0000 N
0.5000 0.5000 0.5000 N
0.8157 0.1843 0.6131 N
0.8157 0.1843 0.8869 N
0.8994 0.1006 0.2500 N
```


Record 13
DFT (PBE-GGA) results for crystalline TbPr7Tl4 at its relaxed geometry.

Computed properties:
Space-group type: C2/m, No. 12
ΔH_f (0 K) in meV/atom: -79

Structure (POSCAR):
```
TbPr7Tl4
1.0
7.5157 -2.9771 0.0000
7.5157 2.9771 0.0000
-5.8012 0.0000 8.9328
Tb Pr Tl
1 7 4
Direct
0.0000 0.0000 0.0000 Tb
0.0614 0.0614 0.3925 Pr
0.2033 0.2033 0.8832 Pr
0.2726 0.2726 0.3335 Pr
0.5000 0.5000 0.0000 Pr
0.7274 0.7274 0.6665 Pr
0.7967 0.7967 0.1168 Pr
0.9386 0.9386 0.6075 Pr
0.3137 0.3137 0.6660 Tl
0.4438 0.4438 0.2562 Tl
0.5562 0.5562 0.7438 Tl
0.6863 0.6863 0.3340 Tl
```


Record 14
DFT (PBE-GGA) results for crystalline Li6NpF12 at its relaxed geometry.

Computed properties:
Space-group type: R-3, No. 148
Electronic total energy in eV per cell: -101.80

Structure (POSCAR):
```
Li6NpF12
1.0
4.5265 2.6134 3.1233
-4.5265 2.6134 3.1233
0.0000 -5.2268 3.1233
Li Np F
6 1 12
Direct
0.1746 0.6115 0.4077 Li
0.3885 0.5923 0.8254 Li
0.4077 0.1746 0.6115 Li
0.5923 0.8254 0.3885 Li
0.6115 0.4077 0.1746 Li
0.8254 0.3885 0.5923 Li
0.0000 0.0000 0.0000 Np
0.0425 0.6878 0.8848 F
0.1152 0.9575 0.3122 F
0.1772 0.3831 0.6027 F
0.3122 0.1152 0.9575 F
0.3831 0.6027 0.1772 F
0.3973 0.8228 0.6169 F
0.6027 0.1772 0.3831 F
0.6169 0.3973 0.8228 F
0.6878 0.8848 0.0425 F
0.8228 0.6169 0.3973 F
0.8848 0.0425 0.6878 F
0.9575 0.3122 0.1152 F
```


Record 15
DFT (PBE-GGA) results for crystalline BaNa2Zn2 at its relaxed geometry.

Computed properties:
Space-group type: I4/mmm, No. 139
Polymorph energy (0 for the lowest one) in eV per formula unit: 0.00
ΔH_f (0 K) in meV/atom: -34

Structure (POSCAR):
```
BaNa2Zn2
1.0
-2.3618 2.3618 7.0210
2.3618 -2.3618 7.0210
2.3618 2.3618 -7.0210
Ba Na Zn
1 2 2
Direct
0.0000 0.0000 0.0000 Ba
0.2500 0.7500 0.5000 Na
0.7500 0.2500 0.5000 Na
0.4063 0.4063 0.0000 Zn
0.5937 0.5937 0.0000 Zn
```


Record 16
DFT (PBE-GGA) results for crystalline La2YSi at its relaxed geometry.

Computed properties:
Space-group type: Pm, No. 6
Electronic total energy in eV per cell: -22.56

Structure (POSCAR):
```
La2YSi
1.0
4.1441 0.0000 0.0000
0.0000 4.5192 0.0000
-1.7788 0.0000 6.1618
La Y Si
2 1 1
Direct
0.0000 0.0000 0.0000 La
0.3564 0.5000 0.8287 La
0.6187 0.0000 0.4240 Y
0.0562 0.5000 0.3065 Si
```


Record 17
DFT (PBE-GGA) results for crystalline Er3InHg5 at its relaxed geometry.

Computed properties:
Space-group type: P6_3/mcm, No. 193
ΔH_f (0 K) in meV/atom: -396

Structure (POSCAR):
```
Er3InHg5
1.0
8.9078 0.0000 0.0000
-4.4539 7.7144 0.0000
0.0000 0.0000 6.3315
Er In Hg
6 2 10
Direct
0.0000 0.3399 0.2500 Er
0.0000 0.6601 0.7500 Er
0.3399 0.0000 0.2500 Er
0.3399 0.3399 0.7500 Er
0.6601 0.0000 0.7500 Er
0.6601 0.6601 0.2500 Er
0.0000 0.0000 0.0000 In
0.0000 0.0000 0.5000 In
0.0000 0.3280 0.7500 Hg
0.0000 0.6720 0.2500 Hg
0.3280 0.0000 0.7500 Hg
0.3280 0.3280 0.2500 Hg
0.3333 0.6667 0.0000 Hg
0.3333 0.6667 0.5000 Hg
0.6667 0.3333 0.0000 Hg
0.6667 0.3333 0.5000 Hg
0.6720 0.0000 0.2500 Hg
0.6720 0.6720 0.7500 Hg
```


Record 18
DFT (PBE-GGA) results for crystalline KPa6Se8 at its relaxed geometry.

Computed properties:
Space-group type: R-3, No. 148
Electronic total energy in eV per cell: -100.87

Structure (POSCAR):
```
KPa6Se8
1.0
5.4661 3.1559 4.5204
-5.4661 3.1559 4.5204
0.0000 -6.3118 4.5204
K Pa Se
1 6 8
Direct
0.0000 0.0000 0.0000 K
0.2264 0.4451 0.5975 Pa
0.4025 0.7736 0.5549 Pa
0.4451 0.5975 0.2264 Pa
0.5549 0.4025 0.7736 Pa
0.5975 0.2264 0.4451 Pa
0.7736 0.5549 0.4025 Pa
0.0960 0.7250 0.3602 Se
0.2745 0.2745 0.2745 Se
0.2750 0.6398 0.9040 Se
0.3602 0.0960 0.7250 Se
0.6398 0.9040 0.2750 Se
0.7250 0.3602 0.0960 Se
0.7255 0.7255 0.7255 Se
0.9040 0.2750 0.6398 Se
```


Record 19
DFT (PBE-GGA) results for crystalline CuPBr2 at its relaxed geometry.

Computed properties:
Space-group type: C2/m, No. 12
Polymorph energy (0 for the lowest one) in eV per formula unit: 2.02

Structure (POSCAR):
```
CuPBr2
1.0
4.4260 -1.7276 0.0000
4.4260 1.7276 0.0000
-1.5276 0.0000 6.3445
Cu P Br
1 1 2
Direct
0.0000 0.0000 0.0000 Cu
0.5000 0.5000 0.5000 P
0.3390 0.3390 0.7726 Br
0.6610 0.6610 0.2274 Br
```


Record 20
DFT (PBE-GGA) results for crystalline CdTeIr at its relaxed geometry.

Computed properties:
Space-group type: F-43m, No. 216
Polymorph energy (0 for the lowest one) in eV per formula unit: 0.00

Structure (POSCAR):
```
CdTeIr
1.0
0.0000 3.2196 3.2196
3.2196 0.0000 3.2196
3.2196 3.2196 0.0000
Cd Te Ir
1 1 1
Direct
0.0000 0.0000 0.0000 Cd
0.5000 0.5000 0.5000 Te
0.2500 0.2500 0.2500 Ir
```